No. 1
Compound: Sm3Ga9Ru2
Source: Alexandria via LeMat-Bulk
Functional: PBE
Structure: relaxed

Structure (extended XYZ):
```
14
Lattice="-2.1542 4.7436 6.3435 2.1542 -4.7436 6.3435 2.1542 4.7436 -6.3435" Properties=species:S:1:pos:R:3 pbc="T T T"
Sm 0.0000 0.0000 0.0000
Sm 0.0000 0.0000 3.8166
Sm 0.0000 0.0000 8.8705
Ga 2.1542 -1.3073 1.9434
Ga 2.1542 -2.0647 4.6984
Ga 2.1542 1.3073 1.9434
Ga 0.0000 2.6789 1.6452
Ga 0.0000 4.7436 0.0000
Ga 2.1542 2.0647 4.6984
Ga 0.0000 3.4363 4.4002
Ga 0.0000 6.8084 1.6452
Ga 0.0000 6.0509 4.4002
Ru 2.1542 3.0765 0.0000
Ru 0.0000 1.6671 6.3435
```

- Raw total energy: -68.00 eV per formula unit
- Density: 8.202 g cm⁻³
- Formation energy from the elements: -0.575 eV per atom
- DOS at the Fermi energy: 0.31 states/eV per atom

---

No. 2
Compound: Al2SeCl
Source: Alexandria via LeMat-Bulk
Functional: PBE
Structure: relaxed

Structure (extended XYZ):
```
4
Lattice="-1.7042 2.2918 5.3578 1.7042 -2.2918 5.3578 1.7042 2.2918 -5.3578" Properties=species:S:1:pos:R:3 pbc="T T T"
Al 0.0000 0.0000 0.0000
Al 0.0000 2.2918 3.0738
Se 1.7042 0.0000 1.8655
Cl 0.0000 0.0000 4.8847
```

- Raw total energy: -13.98 eV per formula unit
- Density: 3.340 g cm⁻³
- DOS at the Fermi energy: 0.18 states/eV per atom
- Formation energy from raw total energies: -1.16 eV per formula unit
- Distance to the lowest polymorph of the same formula: 1.38 eV per formula unit

---

No. 3
Compound: Zn4GeRh5
Source: Alexandria via LeMat-Bulk
Functional: PBE
Structure: relaxed

Structure (extended XYZ):
```
10
Lattice="3.0300 0.0000 0.0000 0.0000 3.0300 0.0000 0.0000 0.0000 15.1227" Properties=species:S:1:pos:R:3 pbc="T T T"
Zn 0.0000 0.0000 1.4949
Zn 0.0000 0.0000 4.4572
Zn 0.0000 0.0000 10.6655
Zn 0.0000 0.0000 13.6279
Ge 0.0000 0.0000 7.5614
Rh 1.5150 1.5150 0.0000
Rh 1.5150 1.5150 3.0093
Rh 1.5150 1.5150 6.1113
Rh 1.5150 1.5150 9.0114
Rh 1.5150 1.5150 12.1134
```

- Raw total energy: -50.85 eV per formula unit
- Density: 10.152 g cm⁻³
- Formation energy from the elements: -0.438 eV per atom
- DOS at the Fermi energy: 0.50 states/eV per atom

---

No. 4
Compound: BeSeBr3
Source: Alexandria via LeMat-Bulk
Functional: PBE
Structure: relaxed

Structure (extended XYZ):
```
5
Lattice="5.3630 0.0000 0.0000 0.0000 5.3630 0.0000 0.0000 0.0000 5.3630" Properties=species:S:1:pos:R:3 pbc="T T T"
Be 0.0000 0.0000 0.0000
Se 2.6815 2.6815 2.6815
Br 0.0000 2.6815 2.6815
Br 2.6815 0.0000 2.6815
Br 2.6815 2.6815 0.0000
```

- Raw total energy: -9.11 eV per formula unit
- Density: 3.528 g cm⁻³
- DOS at the Fermi energy: 1.01 states/eV per atom
- Formation energy from raw total energies: 3.12 eV per formula unit
- Distance to the lowest polymorph of the same formula: 2.39 eV per formula unit

---

No. 5
Compound: Cd4In2Pb
Source: Alexandria via LeMat-Bulk
Functional: PBE
Structure: relaxed

Structure (extended XYZ):
```
7
Lattice="-2.0754 2.0754 10.8564 2.0754 -2.0754 10.8564 2.0754 2.0754 -10.8564" Properties=species:S:1:pos:R:3 pbc="T T T"
Cd 0.0000 0.0000 3.1702
Cd 2.0754 0.0000 5.4282
Cd 0.0000 2.0754 5.4282
Cd 0.0000 0.0000 18.5426
In 0.0000 0.0000 9.0055
In 0.0000 0.0000 12.7072
Pb 0.0000 0.0000 0.0000
```

- Raw total energy: -12.32 eV per formula unit
- Density: 7.870 g cm⁻³
- Formation energy from the elements: 0.075 eV per atom
- DOS at the Fermi energy: 0.35 states/eV per atom
- Distance to the lowest polymorph of the same formula: 0.07 eV per formula unit

---

No. 6
Compound: Ho7Mg5
Source: Alexandria via LeMat-Bulk
Functional: PBE
Structure: relaxed

Structure (extended XYZ):
```
12
Lattice="5.8501 -2.6591 0.0000 5.8501 2.6591 0.0000 -0.0028 0.0000 10.7680" Properties=species:S:1:pos:R:3 pbc="T T T"
Ho 0.0000 0.0000 0.0000
Ho 1.9885 0.0000 2.7264
Ho 4.0353 0.0000 5.5070
Ho 5.5910 0.0000 2.4431
Ho 6.1064 0.0000 8.3249
Ho 7.6621 0.0000 5.2610
Ho 9.7090 0.0000 8.0416
Mg -0.0014 0.0000 5.3840
Mg 1.8499 0.0000 7.8109
Mg 3.5892 0.0000 10.4047
Mg 8.1082 0.0000 0.3633
Mg 9.8475 0.0000 2.9571
```

- Raw total energy: -39.97 eV per formula unit
- Density: 6.325 g cm⁻³
- Formation energy from the elements: 0.004 eV per atom
- DOS at the Fermi energy: 1.10 states/eV per atom